DFT (PBE) results for crystalline Ac3Nd2UN6 at its relaxed geometry. Values from VASP.

Computed properties:
space-group type = C2/m (12)
total moment = 0.00 μB per atom
ΔE_f (raw) = -1.26 eV per atom
calculated density = 9.9 g cm⁻³
VASP energy = -8.19 eV/atom

Structure (Quantum ESPRESSO input):
```
&SYSTEM
  ibrav = 0, nat = 12, ntyp = 4
/
ATOMIC_SPECIES
Ac 227.00 Ac.upf
Nd 144.24 Nd.upf
U 238.03 U.upf
N 14.01 N.upf
ATOMIC_POSITIONS crystal
Ac 0.0000 0.0000 0.0000
Ac 0.3319 0.6681 0.0000
Ac 0.6681 0.3319 0.0000
Nd 0.1664 0.8336 0.5000
Nd 0.8336 0.1664 0.5000
U 0.5000 0.5000 0.5000
N 0.1371 0.4305 0.2923
N 0.2747 0.2747 0.7195
N 0.4305 0.1371 0.2923
N 0.5695 0.8629 0.7077
N 0.7253 0.7253 0.2805
N 0.8629 0.5695 0.7077
CELL_PARAMETERS angstrom
3.1983 -5.5248 0.0000
3.1983 5.5248 0.0000
-2.1165 0.0000 6.1577
```

***

DFT (PBE) results for crystalline Ac2NdVN4 at its relaxed geometry. Values from VASP.

Computed properties:
space-group type = Cmcm (63)
total moment = 0.00 μB per atom
ΔE_f (raw) = -0.94 eV per atom
calculated density = 8.2 g cm⁻³
VASP energy = -7.86 eV/atom

Structure (Quantum ESPRESSO input):
```
&SYSTEM
  ibrav = 0, nat = 16, ntyp = 4
/
ATOMIC_SPECIES
Ac 227.00 Ac.upf
Nd 144.24 Nd.upf
V 50.94 V.upf
N 14.01 N.upf
ATOMIC_POSITIONS crystal
Ac 0.1350 0.8650 0.5428
Ac 0.1350 0.8650 0.9572
Ac 0.8650 0.1350 0.0428
Ac 0.8650 0.1350 0.4572
Nd 0.4054 0.5946 0.7500
Nd 0.5946 0.4054 0.2500
V 0.3178 0.6822 0.2500
V 0.6822 0.3178 0.7500
N 0.0991 0.9009 0.7500
N 0.2201 0.7799 0.1458
N 0.2201 0.7799 0.3542
N 0.5000 0.5000 0.0000
N 0.5000 0.5000 0.5000
N 0.7799 0.2201 0.6458
N 0.7799 0.2201 0.8542
N 0.9009 0.0991 0.2500
CELL_PARAMETERS angstrom
1.7785 -6.1249 0.0000
1.7785 6.1249 0.0000
0.0000 0.0000 13.0429
```

***

DFT (PBE) results for crystalline AcNd2VN4 at its relaxed geometry. Values from VASP.

Computed properties:
space-group type = Cmcm (63)
total moment = 0.00 μB per atom
ΔE_f (raw) = -1.18 eV per atom
calculated density = 7.8 g cm⁻³
VASP energy = -8.19 eV/atom

Structure (Quantum ESPRESSO input):
```
&SYSTEM
  ibrav = 0, nat = 16, ntyp = 4
/
ATOMIC_SPECIES
Ac 227.00 Ac.upf
Nd 144.24 Nd.upf
V 50.94 V.upf
N 14.01 N.upf
ATOMIC_POSITIONS crystal
Ac 0.0845 0.9155 0.7500
Ac 0.9155 0.0845 0.2500
Nd 0.3691 0.6309 0.5422
Nd 0.3691 0.6309 0.9578
Nd 0.6309 0.3691 0.0422
Nd 0.6309 0.3691 0.4578
V 0.1776 0.8224 0.2500
V 0.8224 0.1776 0.7500
N 0.0000 0.0000 0.0000
N 0.0000 0.0000 0.5000
N 0.2651 0.7349 0.1323
N 0.2651 0.7349 0.3677
N 0.4105 0.5895 0.7500
N 0.5895 0.4105 0.2500
N 0.7349 0.2651 0.6323
N 0.7349 0.2651 0.8677
CELL_PARAMETERS angstrom
1.7690 -6.1490 0.0000
1.7690 6.1490 0.0000
0.0000 0.0000 12.2200
```

***

DFT (PBE) results for crystalline Ac2NdWN4 at its relaxed geometry. Values from VASP.

Computed properties:
space-group type = Cmcm (63)
total moment = 0.00 μB per atom
ΔE_f (raw) = -0.74 eV per atom
calculated density = 9.4 g cm⁻³
VASP energy = -8.14 eV/atom

Structure (Quantum ESPRESSO input):
```
&SYSTEM
  ibrav = 0, nat = 16, ntyp = 4
/
ATOMIC_SPECIES
Ac 227.00 Ac.upf
Nd 144.24 Nd.upf
W 183.84 W.upf
N 14.01 N.upf
ATOMIC_POSITIONS crystal
Ac 0.1332 0.8668 0.5379
Ac 0.1332 0.8668 0.9621
Ac 0.8668 0.1332 0.0379
Ac 0.8668 0.1332 0.4621
Nd 0.3846 0.6154 0.7500
Nd 0.6154 0.3846 0.2500
W 0.3356 0.6644 0.2500
W 0.6644 0.3356 0.7500
N 0.0941 0.9059 0.7500
N 0.2232 0.7768 0.1449
N 0.2232 0.7768 0.3551
N 0.5000 0.5000 0.0000
N 0.5000 0.5000 0.5000
N 0.7768 0.2232 0.6449
N 0.7768 0.2232 0.8551
N 0.9059 0.0941 0.2500
CELL_PARAMETERS angstrom
1.8153 -6.3002 0.0000
1.8153 6.3002 0.0000
0.0000 0.0000 12.9718
```

***

DFT (PBE) results for crystalline AcNdWN4 at its relaxed geometry. Values from VASP.

Computed properties:
space-group type = I4mm (107)
total moment = 0.00 μB per atom
ΔE_f (raw) = -1.04 eV per atom
calculated density = 9.7 g cm⁻³
VASP energy = -8.92 eV/atom

Structure (Quantum ESPRESSO input):
```
&SYSTEM
  ibrav = 0, nat = 7, ntyp = 4
/
ATOMIC_SPECIES
Ac 227.00 Ac.upf
Nd 144.24 Nd.upf
W 183.84 W.upf
N 14.01 N.upf
ATOMIC_POSITIONS crystal
Ac 0.0000 0.0000 0.0000
Nd 0.7083 0.7083 0.0000
W 0.3421 0.3421 0.0000
N 0.1965 0.1965 0.0000
N 0.3536 0.8536 0.5000
N 0.5304 0.5304 0.0000
N 0.8536 0.3536 0.5000
CELL_PARAMETERS angstrom
-1.9932 1.9932 6.5940
1.9932 -1.9932 6.5940
1.9932 1.9932 -6.5940
```

***

DFT (PBE) results for crystalline Ac2NdZrN4 at its relaxed geometry. Values from VASP.

Computed properties:
space-group type = P2/m (10)
total moment = 0.00 μB per atom
ΔE_f (raw) = -1.22 eV per atom
calculated density = 8.9 g cm⁻³
VASP energy = -8.08 eV/atom

Structure (Quantum ESPRESSO input):
```
&SYSTEM
  ibrav = 0, nat = 8, ntyp = 4
/
ATOMIC_SPECIES
Ac 227.00 Ac.upf
Nd 144.24 Nd.upf
Zr 91.22 Zr.upf
N 14.01 N.upf
ATOMIC_POSITIONS crystal
Ac 0.0000 0.0000 0.0000
Ac 0.5000 0.5000 0.0000
Nd 0.0000 0.5000 0.5000
Zr 0.5000 0.0000 0.5000
N 0.2647 0.0000 0.7166
N 0.2781 0.5000 0.2858
N 0.7219 0.5000 0.7142
N 0.7353 0.0000 0.2834
CELL_PARAMETERS angstrom
6.2875 0.0000 0.0000
0.0000 3.6211 0.0000
-2.0784 0.0000 6.0885
```

***

DFT (PBE) results for crystalline Ac2NiN at its relaxed geometry. Values from VASP.

Computed properties:
space-group type = R-3m (166)
total moment = 0.00 μB per atom
ΔE_f (raw) = -0.50 eV per atom
calculated density = 9.2 g cm⁻³
VASP energy = -6.08 eV/atom

Structure (Quantum ESPRESSO input):
```
&SYSTEM
  ibrav = 0, nat = 4, ntyp = 3
/
ATOMIC_SPECIES
Ac 227.00 Ac.upf
Ni 58.69 Ni.upf
N 14.01 N.upf
ATOMIC_POSITIONS crystal
Ac 0.2406 0.2406 0.2406
Ac 0.7594 0.7594 0.7594
Ni 0.0000 0.0000 0.0000
N 0.5000 0.5000 0.5000
CELL_PARAMETERS angstrom
1.9719 1.1385 7.0884
-1.9719 1.1385 7.0884
0.0000 -2.2769 7.0884
```

***

DFT (PBE) results for crystalline AcNiN3 at its relaxed geometry. Values from VASP.

Computed properties:
space-group type = C2/m (12)
total moment = 0.00 μB per atom
ΔE_f (raw) = -0.44 eV per atom
calculated density = 6.3 g cm⁻³
VASP energy = -7.41 eV/atom

Structure (Quantum ESPRESSO input):
```
&SYSTEM
  ibrav = 0, nat = 10, ntyp = 3
/
ATOMIC_SPECIES
Ac 227.00 Ac.upf
Ni 58.69 Ni.upf
N 14.01 N.upf
ATOMIC_POSITIONS crystal
Ac 0.1559 0.1559 0.3102
Ac 0.8441 0.8441 0.6898
Ni 0.4399 0.4399 0.3274
Ni 0.5601 0.5601 0.6726
N 0.3524 0.3524 0.9566
N 0.3709 0.3709 0.5249
N 0.3900 0.3900 0.1081
N 0.6100 0.6100 0.8919
N 0.6291 0.6291 0.4751
N 0.6476 0.6476 0.0434
CELL_PARAMETERS angstrom
5.4495 -2.0686 0.0000
5.4495 2.0686 0.0000
-2.0213 0.0000 7.6994
```

***

- What is the formula in the fourth record?
  Ac2NdWN4

***

- ΔE_f (raw) of number 6 (Ac2NdZrN4)?
  -1.22 eV per atom

***

- Which value of total moment does entry 8 give?
  0.00 μB per atom